(1)
A geometry-optimized NaSb3Pd4 structure. Source: Alexandria via LeMat-Bulk, functional PBE.

For the uncorrected formation energy, the calculation gives -318.2 meV/atom. The magnetic moment comes out at 0.000 μB per formula unit.

Lattice parameters (Å, degrees): 9.701 8.056 5.000 90.00 90.00 90.00
Sites, in units of the cell vectors:
1 Na 0.000 0.109 0.000
2 Na 0.500 0.891 0.500
3 Sb 0.000 0.654 0.671
4 Sb 0.242 0.219 0.507
5 Sb 0.258 0.781 0.007
6 Sb 0.500 0.346 0.171
7 Sb 0.742 0.781 0.007
8 Sb 0.758 0.219 0.507
9 Pd 0.000 0.351 0.499
10 Pd 0.000 0.729 0.173
11 Pd 0.194 0.899 0.508
12 Pd 0.306 0.101 0.008
13 Pd 0.500 0.271 0.673
14 Pd 0.500 0.649 0.999
15 Pd 0.694 0.101 0.008
16 Pd 0.806 0.899 0.508



(2)
A geometry-optimized Na2SiSbPd6 structure. Source: Alexandria via LeMat-Bulk, functional PBE.

For the uncorrected formation energy, the calculation gives -332.7 meV/atom. The magnetic moment comes out at 0.000 μB per formula unit.

Lattice parameters (Å, degrees): 6.526 6.526 6.687 90.06 119.08 119.84
Sites, in units of the cell vectors:
1 Na 0.105 0.303 0.407
2 Na 0.895 0.697 0.593
3 Si 0.500 0.500 0.000
4 Sb 0.500 0.000 0.500
5 Pd 0.019 0.175 0.869
6 Pd 0.304 0.655 0.131
7 Pd 0.475 0.150 0.130
8 Pd 0.525 0.850 0.870
9 Pd 0.696 0.345 0.869
10 Pd 0.981 0.825 0.131



(3)
A geometry-optimized Na2Si2SbPd5 structure. Source: Alexandria via LeMat-Bulk, functional PBE.

For the uncorrected formation energy, the calculation gives -489.4 meV/atom. The magnetic moment comes out at 0.000 μB per formula unit.

Lattice parameters (Å, degrees): 10.414 10.414 3.279 90.00 90.00 90.00
Sites, in units of the cell vectors:
1 Na 0.174 0.326 0.000
2 Na 0.326 0.826 0.000
3 Na 0.674 0.174 0.000
4 Na 0.826 0.674 0.000
5 Si 0.125 0.625 0.000
6 Si 0.375 0.125 0.000
7 Si 0.625 0.875 0.000
8 Si 0.875 0.375 0.000
9 Sb 0.000 0.000 0.000
10 Sb 0.500 0.500 0.000
11 Pd 0.000 0.500 0.500
12 Pd 0.071 0.786 0.500
13 Pd 0.214 0.071 0.500
14 Pd 0.286 0.571 0.500
15 Pd 0.429 0.286 0.500
16 Pd 0.500 0.000 0.500
17 Pd 0.571 0.714 0.500
18 Pd 0.714 0.429 0.500
19 Pd 0.786 0.929 0.500
20 Pd 0.929 0.214 0.500



Number 1: electronic total energy -4.63 eV/atom. Number 2: electronic total energy -4.67 eV/atom. Number 3: electronic total energy -4.85 eV/atom.